(1)
Entry from Alexandria: a relaxed AlCr2FePd crystal (PBE).

Summary:
As for the crystal system: tetragonal. For the formation energy, the calculation gives 0.8070 eV/atom. The value obtained for the density of states at the Fermi level is 1.224 states/eV per atom.

abc: 4.2002 4.7313 4.2002
angles: 90.00 90.00 90.00
Closest atoms and distances in Å follow each position.
Fractional positions:
Cr 0.5000 0.0000 0.0000  2 Fe 2.10
Pd 0.0000 0.5000 0.0000  2 Fe 2.37
Cr 0.0000 0.0000 0.5000  2 Fe 2.10
Al 0.5000 0.5000 0.5000  4 Pd 2.97, 8 Cr 3.16
Fe 0.0000 0.0000 0.0000  4 Cr 2.10



(2)
Entry from Alexandria: a relaxed PuAlCrFe crystal (PBE).

Summary:
As for the crystal system: cubic. For the formation energy, the calculation gives -0.0488 eV/atom. The value obtained for the density of states at the Fermi level is 1.221 states/eV per atom.

abc: 4.3943 4.3943 4.3943
angles: 60.00 60.00 60.00
Closest atoms and distances in Å follow each position.
Fractional positions:
Fe 0.2500 0.2500 0.2500  4 Al 2.69, 4 Pu 2.69
Cr 0.7500 0.7500 0.7500  4 Pu 2.69, 4 Al 2.69
Al 0.0000 0.0000 0.0000  4 Fe 2.69, 4 Cr 2.69
Pu 0.5000 0.5000 0.5000  4 Cr 2.69, 4 Fe 2.69



(3)
Entry from Alexandria: a relaxed RbAl2CrFe crystal (PBE).

Summary:
As for the crystal system: tetragonal. For the formation energy, the calculation gives 2.8603 eV/atom. The value obtained for the density of states at the Fermi level is 1.518 states/eV per atom.

abc: 5.2080 4.3451 5.2080
angles: 90.00 90.00 90.00
Closest atoms and distances in Å follow each position.
Fractional positions:
Fe 0.0000 0.5000 0.0000  2 Rb 2.17
Al 0.0000 0.0000 0.5000  2 Rb 2.60
Cr 0.5000 0.5000 0.5000  8 Al 3.39, 4 Fe 3.68
Al 0.5000 0.0000 0.0000  2 Rb 2.60
Rb 0.0000 0.0000 0.0000  2 Fe 2.17



(4)
Entry from Alexandria: a relaxed SrAlCr2Fe crystal (PBE).

Summary:
As for the crystal system: tetragonal. For the formation energy, the calculation gives 2.2272 eV/atom. The value obtained for the density of states at the Fermi level is 1.011 states/eV per atom.

abc: 5.1334 4.7163 5.1334
angles: 90.00 90.00 90.00
Closest atoms and distances in Å follow each position.
Fractional positions:
Cr 0.0000 0.0000 0.5000  2 Sr 2.57
Sr 0.0000 0.0000 0.0000  2 Fe 2.36, 4 Cr 2.57
Al 0.5000 0.5000 0.5000  8 Cr 3.49, 4 Fe 3.63
Fe 0.0000 0.5000 0.0000  2 Sr 2.36
Cr 0.5000 0.0000 0.0000  2 Sr 2.57